Model one:
Computed, not measured: ScPPtO after structural relaxation at the PBE level of DFT.

Summary:
The total magnetization comes out at 0.000 μB/atom.

```
data_ScPPtO
_cell_length_a 5.212
_cell_length_b 5.212
_cell_length_c 4.500
_cell_angle_alpha 90.00
_cell_angle_beta 90.00
_cell_angle_gamma 90.00
_symmetry_space_group_name_H-M 'P 4/n m m'
_symmetry_Int_Tables_number 129
loop_
_symmetry_equiv_pos_as_xyz
'x,y,z'
'-x,-y,-z'
'-y+1/2,x,z'
'y+1/2,-x,-z'
'-x+1/2,-y+1/2,z'
'x+1/2,y+1/2,-z'
'y,-x+1/2,z'
'-y,x+1/2,-z'
'x+1/2,-y,-z'
'-x+1/2,y,z'
'-y,-x,-z'
'y,x,z'
'-x,y+1/2,-z'
'x,-y+1/2,z'
'y+1/2,x+1/2,-z'
'-y+1/2,-x+1/2,z'
loop_
_atom_site_label
_atom_site_fract_x
_atom_site_fract_y
_atom_site_fract_z
Sc1 0.250 0.750 0.000
P1 0.250 0.250 0.002
Pt1 0.250 0.250 0.502
O1 0.250 0.750 0.500
```

---

Model two:
Computed, not measured: ScPPtO after structural relaxation at the PBE level of DFT.

Summary:
The total magnetization comes out at 0.000 μB/atom.

```
data_ScPPtO
_cell_length_a 3.007
_cell_length_b 6.936
_cell_length_c 5.767
_cell_angle_alpha 90.00
_cell_angle_beta 90.00
_cell_angle_gamma 90.00
_symmetry_space_group_name_H-M 'P m c 21'
_symmetry_Int_Tables_number 26
_symmetry_space_group_name_Hall 'P 2c -2'
loop_
_atom_site_label
_atom_site_fract_x
_atom_site_fract_y
_atom_site_fract_z
Sc1 0.000 0.064 0.000
P1 0.000 0.336 0.358
Pt1 0.500 0.446 0.060
O1 0.500 0.040 0.739
```

---

It comes down to model two, which is 0.811 eV/atom more stable than the next structure.

---

Model one:
Computed, not measured: SmPPtO after structural relaxation at the PBE level of DFT.

Summary:
The total magnetization comes out at 0.001 μB/atom.

```
data_SmPPtO
_cell_length_a 3.581
_cell_length_b 7.596
_cell_length_c 5.537
_cell_angle_alpha 90.00
_cell_angle_beta 90.00
_cell_angle_gamma 90.00
_symmetry_space_group_name_H-M 'P m c 21'
_symmetry_Int_Tables_number 26
_symmetry_space_group_name_Hall 'P 2c -2'
loop_
_atom_site_label
_atom_site_fract_x
_atom_site_fract_y
_atom_site_fract_z
Sm1 0.000 0.204 0.000
P1 0.000 0.419 0.498
Pt1 0.500 0.234 0.519
O1 0.500 0.055 0.091
```

---

Model two:
Computed, not measured: SmPPtO after structural relaxation at the PBE level of DFT.

Summary:
The total magnetization comes out at 0.000 μB/atom.

```
data_SmPPtO
_cell_length_a 5.875
_cell_length_b 5.875
_cell_length_c 4.479
_cell_angle_alpha 90.00
_cell_angle_beta 90.00
_cell_angle_gamma 90.00
_symmetry_space_group_name_H-M 'P 4/n m m'
_symmetry_Int_Tables_number 129
loop_
_symmetry_equiv_pos_as_xyz
'x,y,z'
'-x,-y,-z'
'-y+1/2,x,z'
'y+1/2,-x,-z'
'-x+1/2,-y+1/2,z'
'x+1/2,y+1/2,-z'
'y,-x+1/2,z'
'-y,x+1/2,-z'
'x+1/2,-y,-z'
'-x+1/2,y,z'
'-y,-x,-z'
'y,x,z'
'-x,y+1/2,-z'
'x,-y+1/2,z'
'y+1/2,x+1/2,-z'
'-y+1/2,-x+1/2,z'
loop_
_atom_site_label
_atom_site_fract_x
_atom_site_fract_y
_atom_site_fract_z
Sm1 0.250 0.750 0.000
P1 0.250 0.250 0.010
Pt1 0.250 0.250 0.510
O1 0.250 0.750 0.500
```

---

It comes down to model one, which is 0.371 eV/atom more stable than the next structure.

---

Model one:
Computed, not measured: SrPPtO after structural relaxation at the PBE level of DFT.

Summary:
The total magnetization comes out at 0.001 μB/atom.

```
data_SrPPtO
_cell_length_a 3.305
_cell_length_b 8.158
_cell_length_c 5.481
_cell_angle_alpha 90.00
_cell_angle_beta 90.00
_cell_angle_gamma 90.00
_symmetry_space_group_name_H-M 'P m c 21'
_symmetry_Int_Tables_number 26
_symmetry_space_group_name_Hall 'P 2c -2'
loop_
_atom_site_label
_atom_site_fract_x
_atom_site_fract_y
_atom_site_fract_z
Sr1 0.000 0.134 0.000
P1 0.000 0.467 0.595
Pt1 0.500 0.283 0.509
O1 0.500 0.064 0.317
```

---

Model two:
Computed, not measured: SrPPtO after structural relaxation at the PBE level of DFT.

Summary:
The total magnetization comes out at 0.130 μB/atom.

```
data_SrPPtO
_cell_length_a 4.941
_cell_length_b 4.941
_cell_length_c 6.336
_cell_angle_alpha 90.00
_cell_angle_beta 90.00
_cell_angle_gamma 90.00
_symmetry_space_group_name_H-M 'P 4/n m m'
_symmetry_Int_Tables_number 129
loop_
_symmetry_equiv_pos_as_xyz
'x,y,z'
'-x,-y,-z'
'-y+1/2,x,z'
'y+1/2,-x,-z'
'-x+1/2,-y+1/2,z'
'x+1/2,y+1/2,-z'
'y,-x+1/2,z'
'-y,x+1/2,-z'
'x+1/2,-y,-z'
'-x+1/2,y,z'
'-y,-x,-z'
'y,x,z'
'-x,y+1/2,-z'
'x,-y+1/2,z'
'y+1/2,x+1/2,-z'
'-y+1/2,-x+1/2,z'
loop_
_atom_site_label
_atom_site_fract_x
_atom_site_fract_y
_atom_site_fract_z
Sr1 0.250 0.750 0.000
P1 0.250 0.250 0.219
Pt1 0.250 0.250 0.566
O1 0.250 0.750 0.500
```

---

Model three:
Computed, not measured: SrPPtO after structural relaxation at the PBE level of DFT.

Summary:
The total magnetization comes out at 0.000 μB/atom.

```
data_SrPPtO
_cell_length_a 4.299
_cell_length_b 4.299
_cell_length_c 8.509
_cell_angle_alpha 90.00
_cell_angle_beta 90.00
_cell_angle_gamma 90.00
_symmetry_space_group_name_H-M 'P 4/n m m'
_symmetry_Int_Tables_number 129
loop_
_symmetry_equiv_pos_as_xyz
'x,y,z'
'-x,-y,-z'
'-y+1/2,x,z'
'y+1/2,-x,-z'
'-x+1/2,-y+1/2,z'
'x+1/2,y+1/2,-z'
'y,-x+1/2,z'
'-y,x+1/2,-z'
'x+1/2,-y,-z'
'-x+1/2,y,z'
'-y,-x,-z'
'y,x,z'
'-x,y+1/2,-z'
'x,-y+1/2,z'
'y+1/2,x+1/2,-z'
'-y+1/2,-x+1/2,z'
loop_
_atom_site_label
_atom_site_fract_x
_atom_site_fract_y
_atom_site_fract_z
Sr1 0.250 0.250 0.122
P1 0.250 0.250 0.628
Pt1 0.250 0.750 0.500
O1 0.250 0.750 0.000
```

---

It comes down to model three, which is 0.066 eV/atom more stable than the next structure.

---

Model one:
Computed, not measured: TcPPtO after structural relaxation at the PBE level of DFT.

Summary:
The total magnetization comes out at 0.000 μB/atom.

```
data_TcPPtO
_cell_length_a 3.420
_cell_length_b 6.122
_cell_length_c 5.876
_cell_angle_alpha 90.00
_cell_angle_beta 90.00
_cell_angle_gamma 90.00
_symmetry_space_group_name_H-M 'P m c 21'
_symmetry_Int_Tables_number 26
_symmetry_space_group_name_Hall 'P 2c -2'
loop_
_atom_site_label
_atom_site_fract_x
_atom_site_fract_y
_atom_site_fract_z
Tc1 0.000 0.250 0.000
P1 0.000 0.125 0.382
Pt1 0.500 0.100 0.652
O1 0.500 0.396 0.013
```

---

Model two:
Computed, not measured: TcPPtO after structural relaxation at the PBE level of DFT.

Summary:
The total magnetization comes out at 0.006 μB/atom.

```
data_TcPPtO
_cell_length_a 3.839
_cell_length_b 3.839
_cell_length_c 6.813
_cell_angle_alpha 90.00
_cell_angle_beta 90.00
_cell_angle_gamma 90.00
_symmetry_space_group_name_H-M 'P 4/n m m'
_symmetry_Int_Tables_number 129
loop_
_symmetry_equiv_pos_as_xyz
'x,y,z'
'-x,-y,-z'
'-y+1/2,x,z'
'y+1/2,-x,-z'
'-x+1/2,-y+1/2,z'
'x+1/2,y+1/2,-z'
'y,-x+1/2,z'
'-y,x+1/2,-z'
'x+1/2,-y,-z'
'-x+1/2,y,z'
'-y,-x,-z'
'y,x,z'
'-x,y+1/2,-z'
'x,-y+1/2,z'
'y+1/2,x+1/2,-z'
'-y+1/2,-x+1/2,z'
loop_
_atom_site_label
_atom_site_fract_x
_atom_site_fract_y
_atom_site_fract_z
Tc1 0.250 0.250 0.162
P1 0.250 0.250 0.729
Pt1 0.250 0.750 0.500
O1 0.250 0.750 0.000
```

---

It comes down to model one, which is 0.319 eV/atom more stable than the next structure.

---

Model one:
Computed, not measured: TlPPtO after structural relaxation at the PBE level of DFT.

Summary:
The total magnetization comes out at 0.000 μB/atom.

```
data_TlPPtO
_cell_length_a 4.346
_cell_length_b 4.346
_cell_length_c 9.062
_cell_angle_alpha 90.00
_cell_angle_beta 90.00
_cell_angle_gamma 90.00
_symmetry_space_group_name_H-M 'P 4/n m m'
_symmetry_Int_Tables_number 129
loop_
_symmetry_equiv_pos_as_xyz
'x,y,z'
'-x,-y,-z'
'-y+1/2,x,z'
'y+1/2,-x,-z'
'-x+1/2,-y+1/2,z'
'x+1/2,y+1/2,-z'
'y,-x+1/2,z'
'-y,x+1/2,-z'
'x+1/2,-y,-z'
'-x+1/2,y,z'
'-y,-x,-z'
'y,x,z'
'-x,y+1/2,-z'
'x,-y+1/2,z'
'y+1/2,x+1/2,-z'
'-y+1/2,-x+1/2,z'
loop_
_atom_site_label
_atom_site_fract_x
_atom_site_fract_y
_atom_site_fract_z
Tl1 0.250 0.750 0.000
P1 0.250 0.250 0.202
Pt1 0.250 0.250 0.446
O1 0.250 0.750 0.500
```

---

Model two:
Computed, not measured: TlPPtO after structural relaxation at the PBE level of DFT.

Summary:
The total magnetization comes out at 0.000 μB/atom.

```
data_TlPPtO
_cell_length_a 3.318
_cell_length_b 7.120
_cell_length_c 6.848
_cell_angle_alpha 90.00
_cell_angle_beta 90.00
_cell_angle_gamma 90.00
_symmetry_space_group_name_H-M 'P m c 21'
_symmetry_Int_Tables_number 26
_symmetry_space_group_name_Hall 'P 2c -2'
loop_
_atom_site_label
_atom_site_fract_x
_atom_site_fract_y
_atom_site_fract_z
Tl1 0.000 0.196 0.000
P1 0.000 0.170 0.397
Pt1 0.500 0.289 0.578
O1 0.500 0.376 0.863
```

---

It comes down to model two, which is 0.435 eV/atom more stable than the next structure.